(1)
{"formula": "BaPdSe", "functional": "PBE", "state": "optimized geometry", "total_energy_ev_per_atom": -4.71, "e_form_raw_ev_per_atom": -1.18, "volume_a3_per_atom": 30.29, "cell": [[9.2816, 0.0033, -0.0031], [0.9866, 4.5885, -0.0012], [1.4381, 1.4858, 4.2671]], "species": ["Se", "Se", "Ba", "Ba", "Pd", "Pd"], "frac_coords": [[0.8728, 0.4629, 0.0921], [0.3296, 0.6259, 0.0408], [0.6583, 0.8623, 0.5484], [0.0852, 0.0783, 0.6374], [0.3885, 0.4683, 0.5509], [0.4021, 0.0683, 0.1354]]}

(2)
{"formula": "Ba3PdSe", "functional": "PBE", "state": "optimized geometry", "total_energy_ev_per_atom": -3.46, "polymorph_energy_mev_per_atom": 0, "e_form_raw_ev_per_atom": -0.57, "volume_a3_per_atom": 44.68, "cell": [[-0.0905, 5.7491, 1.9388], [-5.3327, 0.8494, -2.7676], [-2.8936, -1.7452, 5.0399]], "species": ["Ba", "Ba", "Ba", "Se", "Pd"], "frac_coords": [[0.0000, 0.5000, 0.0000], [0.5000, 0.0000, 0.0000], [0.0000, 0.0000, 0.5000], [0.5000, 0.5000, 0.5000], [0.0000, 0.0000, 0.0000]]}